1.
BaScTl | GGA-PBE | relaxed

abc: 5.4698 5.4698 5.4698
angles: 60.00 60.00 60.00
With the nearest neighbours (Å) after each atom.
Fractional positions:
Ba 0.0000 0.0000 0.0000  4 Tl 3.35, 4 Sc 3.35
Sc 0.2500 0.2500 0.2500  4 Ba 3.35
Tl 0.7500 0.7500 0.7500  4 Ba 3.35

Results
* energy above the most stable polymorph in this dataset: 0.879 eV per atom
* ΔH_f (0 K): 0.60 eV/atom

2.
Sc2Ga3Cu | GGA-PBE | relaxed

abc: 8.5829 8.1234 5.3945
angles: 75.85 66.60 37.55
With the nearest neighbours (Å) after each atom.
Fractional positions:
Sc 0.2475 0.7525 0.7525  10 Ga 2.94-3.02, 2 Cu 2.97, 1 Sc 3.24
Sc 0.2500 0.2500 0.2500  8 Ga 2.95, 4 Cu 2.96, 2 Sc 3.27
Sc 0.7500 0.7500 0.7500  8 Ga 2.95, 4 Cu 2.96, 2 Sc 3.27
Sc 0.7525 0.2475 0.2475  10 Ga 2.94-3.02, 2 Cu 2.97, 1 Sc 3.24
Ga 0.1598 0.6700 0.3300  1 Cu 2.43, 2 Ga 2.52-2.53
Ga 0.3304 0.3304 0.6696  1 Cu 2.42, 2 Ga 2.52
Ga 0.3300 0.8402 0.1598  1 Cu 2.43, 2 Ga 2.52-2.53
Ga 0.6700 0.1598 0.8402  1 Cu 2.43, 2 Ga 2.52-2.53
Ga 0.6696 0.6696 0.3304  1 Cu 2.42, 2 Ga 2.52
Ga 0.8402 0.3300 0.6700  1 Cu 2.43, 2 Ga 2.52-2.53
Cu 0.1674 0.1674 0.8326  3 Ga 2.42-2.43
Cu 0.8326 0.8326 0.1674  3 Ga 2.42-2.43

Results
* ΔH_f (0 K): -0.55 eV/atom

Q: Which of these has the highest ΔH_f (0 K)?
A: BaScTl

What did the second record say?
Sc2Ga3Cu | GGA-PBE | relaxed

abc: 8.5829 8.1234 5.3945
angles: 75.85 66.60 37.55
With the nearest neighbours (Å) after each atom.
Fractional positions:
Sc 0.2475 0.7525 0.7525  10 Ga 2.94-3.02, 2 Cu 2.97, 1 Sc 3.24
Sc 0.2500 0.2500 0.2500  8 Ga 2.95, 4 Cu 2.96, 2 Sc 3.27
Sc 0.7500 0.7500 0.7500  8 Ga 2.95, 4 Cu 2.96, 2 Sc 3.27
Sc 0.7525 0.2475 0.2475  10 Ga 2.94-3.02, 2 Cu 2.97, 1 Sc 3.24
Ga 0.1598 0.6700 0.3300  1 Cu 2.43, 2 Ga 2.52-2.53
Ga 0.3304 0.3304 0.6696  1 Cu 2.42, 2 Ga 2.52
Ga 0.3300 0.8402 0.1598  1 Cu 2.43, 2 Ga 2.52-2.53
Ga 0.6700 0.1598 0.8402  1 Cu 2.43, 2 Ga 2.52-2.53
Ga 0.6696 0.6696 0.3304  1 Cu 2.42, 2 Ga 2.52
Ga 0.8402 0.3300 0.6700  1 Cu 2.43, 2 Ga 2.52-2.53
Cu 0.1674 0.1674 0.8326  3 Ga 2.42-2.43
Cu 0.8326 0.8326 0.1674  3 Ga 2.42-2.43

Results
* ΔH_f (0 K): -0.55 eV/atom

Copy entry 2 word for word.
Sc2Ga3Cu | GGA-PBE | relaxed

abc: 8.5829 8.1234 5.3945
angles: 75.85 66.60 37.55
With the nearest neighbours (Å) after each atom.
Fractional positions:
Sc 0.2475 0.7525 0.7525  10 Ga 2.94-3.02, 2 Cu 2.97, 1 Sc 3.24
Sc 0.2500 0.2500 0.2500  8 Ga 2.95, 4 Cu 2.96, 2 Sc 3.27
Sc 0.7500 0.7500 0.7500  8 Ga 2.95, 4 Cu 2.96, 2 Sc 3.27
Sc 0.7525 0.2475 0.2475  10 Ga 2.94-3.02, 2 Cu 2.97, 1 Sc 3.24
Ga 0.1598 0.6700 0.3300  1 Cu 2.43, 2 Ga 2.52-2.53
Ga 0.3304 0.3304 0.6696  1 Cu 2.42, 2 Ga 2.52
Ga 0.3300 0.8402 0.1598  1 Cu 2.43, 2 Ga 2.52-2.53
Ga 0.6700 0.1598 0.8402  1 Cu 2.43, 2 Ga 2.52-2.53
Ga 0.6696 0.6696 0.3304  1 Cu 2.42, 2 Ga 2.52
Ga 0.8402 0.3300 0.6700  1 Cu 2.43, 2 Ga 2.52-2.53
Cu 0.1674 0.1674 0.8326  3 Ga 2.42-2.43
Cu 0.8326 0.8326 0.1674  3 Ga 2.42-2.43

Results
* ΔH_f (0 K): -0.55 eV/atom

Q: Look up the ΔH_f (0 K) of the first one.
A: 0.60 eV/atom